VASP calculation (GGA-PBE) on Pm7Dy6 after structural relaxation.

Summary:
E   -57.60 eV per formula unit

Cell: 12.1601 12.1601 12.1601 Å, 31.63 31.63 31.63°
Last column: nearest neighbours and their distance in Å.
Fractional coordinates of all 13 atoms:
1 Pm 0.0000 0.0000 0.0000  6 Pm 3.37
2 Pm 0.0938 0.0938 0.5763  5 Pm 3.20-3.43
3 Pm 0.0938 0.5763 0.0938  5 Pm 3.20-3.43
4 Pm 0.4237 0.9062 0.9062  5 Pm 3.20-3.43
5 Pm 0.5763 0.0938 0.0938  5 Pm 3.20-3.43
6 Pm 0.9062 0.4237 0.9062  5 Pm 3.20-3.43
7 Pm 0.9062 0.9062 0.4237  5 Pm 3.20-3.43
8 Dy 0.1654 0.1654 0.1654  6 Pm 3.59-3.60, 3 Dy 3.83
9 Dy 0.3525 0.3525 0.3525  1 Dy 3.53, 12 Pm 3.86-3.90
10 Dy 0.4544 0.4544 0.4544  2 Dy 3.16-3.53
11 Dy 0.5456 0.5456 0.5456  2 Dy 3.16-3.53
12 Dy 0.6475 0.6475 0.6475  1 Dy 3.53, 12 Pm 3.86-3.90
13 Dy 0.8346 0.8346 0.8346  6 Pm 3.59-3.60, 3 Dy 3.83



VASP calculation (GGA-PBE) on LiCu2Ni after structural relaxation.

Summary:
E   -16.07 eV per formula unit
Energy relative to the lowest polymorph listed for this composition   0.00 kcal/mol of atoms

Cell: 4.3987 4.3987 2.5322 Å, 90.00 90.00 108.82°
Last column: nearest neighbours and their distance in Å.
Fractional coordinates of all 4 atoms:
1 Li 0.0000 0.0000 0.0000  2 Li 2.53, 8 Cu 2.54, 2 Ni 2.56
2 Cu 0.0000 0.5000 0.5000  4 Cu 2.53-2.56, 4 Li 2.54, 4 Ni 2.54
3 Cu 0.5000 0.0000 0.5000  4 Cu 2.53-2.56, 4 Li 2.54, 4 Ni 2.54
4 Ni 0.5000 0.5000 0.0000  2 Ni 2.53, 8 Cu 2.54, 2 Li 2.56



VASP calculation (GGA-PBE) on BaTl3Se3 after structural relaxation.

Summary:
E   -24.68 eV per formula unit
Uncorrected formation energy   -0.74 eV per atom

Cell: 9.1685 9.1685 9.1685 Å, 57.50 57.50 57.50°
Last column: nearest neighbours and their distance in Å.
Fractional coordinates of all 14 atoms:
1 Ba 0.1686 0.1686 0.1686  6 Se 3.28-3.32
2 Ba 0.8314 0.8314 0.8314  6 Se 3.28-3.32
3 Tl 0.1575 0.3463 0.6460  3 Se 2.99-3.06
4 Tl 0.3463 0.6460 0.1575  3 Se 2.99-3.06
5 Tl 0.3540 0.8425 0.6537  3 Se 2.99-3.06
6 Tl 0.6460 0.1575 0.3463  3 Se 2.99-3.06
7 Tl 0.6537 0.3540 0.8425  3 Se 2.99-3.06
8 Tl 0.8425 0.6537 0.3540  3 Se 2.99-3.06
9 Se 0.0134 0.1606 0.5880  3 Tl 2.99-3.06, 2 Ba 3.28-3.32
10 Se 0.1606 0.5880 0.0134  3 Tl 2.99-3.06, 2 Ba 3.28-3.32
11 Se 0.4120 0.9866 0.8394  3 Tl 2.99-3.06, 2 Ba 3.28-3.32
12 Se 0.5880 0.0134 0.1606  3 Tl 2.99-3.06, 2 Ba 3.28-3.32
13 Se 0.8394 0.4120 0.9866  3 Tl 2.99-3.06, 2 Ba 3.28-3.32
14 Se 0.9866 0.8394 0.4120  3 Tl 2.99-3.06, 2 Ba 3.28-3.32